[1]
Below is a relaxed structure of MgScNiPb, with properties calculated at the PBE level.

Cell lengths 6.7406, 6.7406, 6.7406 Å; angles 90.00, 90.00, 90.00 degrees
Space group F-43m (No. 216)
Unique sites:
Mg 0.0000 0.0000 0.0000
Sc 0.2500 0.2500 0.7500
Ni 0.2500 0.2500 0.2500
Pb 0.0000 0.0000 0.5000

Calculated values
For the total moment, the calculation gives 0.3 μB/cell. Its final energy is -69.532 eV for the cell shown. The value obtained for the distance to the lowest polymorph of the same formula is 0.44 eV per formula unit. As for the crystal system: cubic.

[2]
Below is a relaxed structure of MgZrNiPb, with properties calculated at the PBE level.

Cell lengths 6.7854, 6.7854, 6.7854 Å; angles 90.00, 90.00, 90.00 degrees
Space group F-43m (No. 216)
Unique sites:
Mg 0.0000 0.0000 0.0000
Zr 0.2500 0.2500 0.7500
Ni 0.0000 0.0000 0.5000
Pb 0.2500 0.2500 0.2500

Calculated values
For the total moment, the calculation gives 0.0 μB/cell. Its final energy is -75.852 eV for the cell shown. As for the crystal system: cubic.

[3]
Below is a relaxed structure of MgNiPd, with properties calculated at the PBE level.

Cell lengths 5.9258, 5.9258, 5.9258 Å; angles 90.00, 90.00, 90.00 degrees
Space group F-43m (No. 216)
Unique sites:
Mg 0.0000 0.0000 0.0000
Ni 0.0000 0.0000 0.5000
Pd 0.2500 0.2500 0.2500

Calculated values
For the total moment, the calculation gives 0.4 μB/cell. Its final energy is -48.978 eV for the cell shown. As for the crystal system: cubic.

[4]
Below is a relaxed structure of Mg2NiPd, with properties calculated at the PBE level.

Cell lengths 6.2749, 6.2749, 6.2749 Å; angles 90.00, 90.00, 90.00 degrees
Space group F-43m (No. 216)
Unique sites:
Mg 0.0000 0.0000 0.0000
Mg 0.2500 0.2500 0.2500
Ni 0.2500 0.2500 0.7500
Pd 0.0000 0.0000 0.5000

Calculated values
For the total moment, the calculation gives 0.0 μB/cell. Its final energy is -59.783 eV for the cell shown. As for the crystal system: cubic.

[5]
Below is a relaxed structure of Pr2Mg4NiPd, with properties calculated at the PBE level.

Cell lengths 8.2861, 4.2598, 10.3942 Å; angles 90.00, 90.00, 90.00 degrees
Space group Amm2 (No. 38)
Unique sites:
Pr 0.0000 0.0000 0.0000
Pr 0.5000 0.0000 0.1207
Mg 0.2002 0.0000 0.7138
Mg 0.3094 0.0000 0.4071
Ni 0.5000 0.0000 0.8338
Pd 0.0000 0.0000 0.2859

Calculated values
For the total moment, the calculation gives 0.0 μB/cell. Its final energy is -58.972 eV for the cell shown. As for the crystal system: orthorhombic.

[6]
Below is a relaxed structure of MgNiSnPd, with properties calculated at the PBE level.

Cell lengths 6.3369, 6.3369, 6.3369 Å; angles 90.00, 90.00, 90.00 degrees
Space group F-43m (No. 216)
Unique sites:
Mg 0.0000 0.0000 0.0000
Ni 0.2500 0.2500 0.7500
Sn 0.0000 0.0000 0.5000
Pd 0.2500 0.2500 0.2500

Calculated values
For the total moment, the calculation gives 0.0 μB/cell. Its final energy is -72.623 eV for the cell shown. The value obtained for the distance to the lowest polymorph of the same formula is 0.00 eV per formula unit. As for the crystal system: cubic.